(1)
BeCoOs | PBE | optimized geometry

The structure in POSCAR format:
```
BeCoOs
1.0
-0.2787 1.6402 3.4909
1.6936 -3.4553 -0.3832
2.2544 1.1446 -0.3578
Be Os Co
1 1 1
Direct
0.0000 0.0000 0.1670
0.3333 0.6667 0.6665
0.6667 0.3333 0.1666
```

Output
* Fermi-level density of states: 0.8705 states/eV per atom
* energy: -7.34 eV per atom
* size of the total moment: 0.0 μB per cell
* energy above the lowest structure with this stoichiometry: 85 meV/atom
* space-group type: P-6m2 (187)

(2)
BeCo3Os | PBE | optimized geometry

The structure in POSCAR format:
```
BeCo3Os
1.0
4.4099 0.0000 0.0000
0.0000 4.4099 0.0000
0.0000 0.0000 4.4099
Be Co Os
1 3 1
Direct
0.5000 0.5000 0.5000
0.0000 0.5000 0.0000
0.0000 0.0000 0.5000
0.5000 0.0000 0.0000
0.0000 0.0000 0.0000
```

Output
* Fermi-level density of states: 1.7409 states/eV per atom
* energy: -5.48 eV per atom
* size of the total moment: 1.5 μB per cell
* energy above the lowest structure with this stoichiometry: 1183 meV/atom
* space-group type: Pm-3m (221)

(3)
Be2CoOs | PBE | optimized geometry

The structure in POSCAR format:
```
Be2CoOs
1.0
-1.6469 -0.0684 2.1526
1.2781 -2.2143 0.9074
3.5178 3.1747 2.7922
Co Be Os
1 2 1
Direct
0.0000 0.0000 0.4632
0.0000 0.0000 0.0349
0.5000 0.5000 0.2361
0.5000 0.5000 0.7658
```

Output
* Fermi-level density of states: 0.5610 states/eV per atom
* energy: -6.58 eV per atom
* size of the total moment: 1.1 μB per cell
* energy above the lowest structure with this stoichiometry: 23 meV/atom
* space-group type: P4mm (99)

(4)
BeCoOs2 | PBE | optimized geometry

The structure in POSCAR format:
```
BeCoOs2
1.0
-0.0777 -1.8978 3.2162
-2.2180 -1.2201 -0.7736
1.3419 -4.3384 -2.5276
Co Be Os
1 1 2
Direct
0.5000 0.7500 0.7500
0.5000 0.2500 0.2500
0.0000 0.3912 0.4852
0.0000 0.1088 0.0148
```

Output
* Fermi-level density of states: 0.9725 states/eV per atom
* energy: -8.14 eV per atom
* size of the total moment: 0.6 μB per cell
* space-group type: P2/m (10)